Below is a geometry-optimized NaAs2Pt4 structure, with properties calculated at the GGA-PBE level.

Cell: 7.9603 7.9603 3.9309 Å, 90.00 90.00 90.00°
Last column: nearest neighbours and their distance in Å.
Element x y z (fractional)
1 Na 0.0000 0.0000 0.0000  6 As 3.08-3.22, 8 Pt 3.34
2 Na 0.5000 0.5000 0.5000  6 As 3.08-3.22, 8 Pt 3.34
3 As 0.2264 0.2264 0.5000  6 Pt 2.54-2.56
4 As 0.2736 0.7264 0.0000  6 Pt 2.54-2.56
5 As 0.7264 0.2736 0.0000  6 Pt 2.54-2.56
6 As 0.7736 0.7736 0.5000  6 Pt 2.54-2.56
7 Pt 0.0785 0.6704 0.5000  3 As 2.54-2.56, 1 Pt 2.83
8 Pt 0.1704 0.4215 0.0000  3 As 2.54-2.56, 1 Pt 2.83
9 Pt 0.3296 0.9215 0.5000  3 As 2.54-2.56, 1 Pt 2.83
10 Pt 0.4215 0.1704 0.0000  3 As 2.54-2.56, 1 Pt 2.83
11 Pt 0.5785 0.8296 0.0000  3 As 2.54-2.56, 1 Pt 2.83
12 Pt 0.6704 0.0785 0.5000  3 As 2.54-2.56, 1 Pt 2.83
13 Pt 0.8296 0.5785 0.0000  3 As 2.54-2.56, 1 Pt 2.83
14 Pt 0.9215 0.3296 0.5000  3 As 2.54-2.56, 1 Pt 2.83

Calculated values
VASP energy   -5.32 eV/atom

***

Below is a geometry-optimized Na2As3Pt2 structure, with properties calculated at the GGA-PBE level.

Cell: 5.6256 5.6256 7.1367 Å, 112.74 112.74 43.63°
Last column: nearest neighbours and their distance in Å.
Element x y z (fractional)
1 Na 0.1707 0.1707 0.3049  3 Pt 2.91-3.17, 3 As 3.12-3.13
2 Na 0.8293 0.8293 0.6951  3 Pt 2.91-3.17, 3 As 3.12-3.13
3 As 0.3760 0.3760 0.0425  3 Pt 2.53-2.58
4 As 0.5000 0.5000 0.5000  4 Pt 2.73, 2 As 2.97
5 As 0.6240 0.6240 0.9575  3 Pt 2.53-2.58
6 Pt 0.1228 0.1228 0.7575  5 As 2.53-2.73
7 Pt 0.8772 0.8772 0.2425  5 As 2.53-2.73

Calculated values
VASP energy   -4.42 eV/atom

***

Below is a geometry-optimized NaAs2Pt structure, with properties calculated at the GGA-PBE level.

Cell: 4.6418 4.6418 4.6418 Å, 60.00 60.00 60.00°
Last column: nearest neighbours and their distance in Å.
Element x y z (fractional)
1 Na 0.0000 0.0000 0.0000  8 As 2.84
2 As 0.2500 0.2500 0.2500  4 Pt 2.84, 4 Na 2.84
3 As 0.7500 0.7500 0.7500  4 Pt 2.84, 4 Na 2.84
4 Pt 0.5000 0.5000 0.5000  8 As 2.84

Calculated values
VASP energy   -4.31 eV/atom
Excess energy over the best structure of this formula in the dataset   38.5 kJ/mol of formula units

***

Below is a geometry-optimized NaAsPt3 structure, with properties calculated at the GGA-PBE level.

Cell: 4.7286 4.7286 4.7286 Å, 90.00 90.00 90.00°
Last column: nearest neighbours and their distance in Å.
Element x y z (fractional)
1 Na 0.0000 0.0000 0.0000  12 Pt 3.34
2 As 0.5000 0.5000 0.5000  6 Pt 2.36
3 Pt 0.0000 0.5000 0.5000  2 As 2.36
4 Pt 0.5000 0.0000 0.5000  2 As 2.36
5 Pt 0.5000 0.5000 0.0000  2 As 2.36

Calculated values
VASP energy   -4.70 eV/atom
Excess energy over the best structure of this formula in the dataset   144.7 kJ/mol of formula units

***

Below is a geometry-optimized NaAs2Pt3 structure, with properties calculated at the GGA-PBE level.

Cell: 8.6056 8.6056 9.9390 Å, 104.58 104.58 27.50°
Last column: nearest neighbours and their distance in Å.
Element x y z (fractional)
1 Na 0.0000 0.0000 0.0000  6 Pt 3.06-3.15, 6 As 3.17-3.20
2 Na 0.1642 0.1642 0.7092  6 As 3.08-3.22, 6 Pt 3.14-3.42
3 Na 0.8358 0.8358 0.2908  6 As 3.08-3.22, 6 Pt 3.14-3.42
4 As 0.1941 0.1941 0.1318  6 Pt 2.48-2.67
5 As 0.3610 0.3610 0.5394  5 Pt 2.46-2.57
6 As 0.4559 0.4559 0.2173  5 Pt 2.46-2.74
7 As 0.5441 0.5441 0.7827  5 Pt 2.46-2.74
8 As 0.6390 0.6390 0.4606  5 Pt 2.46-2.57
9 As 0.8059 0.8059 0.8682  6 Pt 2.48-2.67
10 Pt 0.0315 0.0315 0.3169  2 As 2.47
11 Pt 0.2154 0.2154 0.3972  4 As 2.48-2.57
12 Pt 0.3206 0.3206 0.0453  4 As 2.46-2.67
13 Pt 0.3831 0.3831 0.8011  4 As 2.53-2.74
14 Pt 0.5000 0.5000 0.5000  4 As 2.46-2.71
15 Pt 0.6169 0.6169 0.1989  4 As 2.53-2.74
16 Pt 0.6794 0.6794 0.9547  4 As 2.46-2.67
17 Pt 0.7846 0.7846 0.6028  4 As 2.48-2.57
18 Pt 0.9685 0.9685 0.6831  2 As 2.47

Calculated values
VASP energy   -5.17 eV/atom

***

Below is a geometry-optimized NaAs3Pt3 structure, with properties calculated at the GGA-PBE level.

Cell: 6.9314 6.9314 6.9314 Å, 90.00 90.00 90.00°
Last column: nearest neighbours and their distance in Å.
Element x y z (fractional)
1 Na 0.0000 0.0000 0.0000  12 As 3.87, 12 Pt 3.87
2 Na 0.5000 0.5000 0.5000  12 As 3.87, 12 Pt 3.87
3 As 0.0000 0.2500 0.5000  4 Pt 2.45
4 As 0.0000 0.7500 0.5000  4 Pt 2.45
5 As 0.2500 0.5000 0.0000  4 Pt 2.45
6 As 0.5000 0.0000 0.2500  4 Pt 2.45
7 As 0.5000 0.0000 0.7500  4 Pt 2.45
8 As 0.7500 0.5000 0.0000  4 Pt 2.45
9 Pt 0.0000 0.5000 0.2500  4 As 2.45
10 Pt 0.0000 0.5000 0.7500  4 As 2.45
11 Pt 0.2500 0.0000 0.5000  4 As 2.45
12 Pt 0.5000 0.2500 0.0000  4 As 2.45
13 Pt 0.5000 0.7500 0.0000  4 As 2.45
14 Pt 0.7500 0.0000 0.5000  4 As 2.45

Calculated values
VASP energy   -5.01 eV/atom

***

Respective total moment values: 0.000; 0.000; 0.000; 0.000; 0.000; 0.000 μB/f.u..
Respective V values: 17.79; 20.24; 17.68; 21.15; 18.23; 23.79 A^3/atom.